Er3ScTe4 PBE optimized geometry; total magnetization = 0.0000 μB per atom; ΔE_f (raw) = -9.4 eV/f.u.; crystal system = monoclinic; DOS at the Fermi energy = 8.924 states/eV/cell; SG = P2/c (13)
1.0
7.445 0.000 0.000
0.000 8.520 0.000
-2.461 0.000 7.015
Er Sc Te
6 2 8
direct
0.000 0.126 0.250 Er
0.000 0.371 0.750 Er
0.000 0.629 0.250 Er
0.000 0.874 0.750 Er
0.500 0.374 0.250 Er
0.500 0.626 0.750 Er
0.500 0.132 0.750 Sc
0.500 0.868 0.250 Sc
0.252 0.374 0.502 Te
0.252 0.626 0.002 Te
0.259 0.118 0.001 Te
0.259 0.882 0.501 Te
0.741 0.118 0.499 Te
0.741 0.882 0.999 Te
0.748 0.374 0.998 Te
0.748 0.626 0.498 Te